# ZnCo2O, PBEsol geometry, DFT SCAN
data_ZnCo2O
_symmetry_space_group_name_H-M 'P 1'
_symmetry_Int_Tables_number 1
_symmetry_space_group_name_Hall 'P 1'
_cell_length_a 3.9079
_cell_length_b 3.9079
_cell_length_c 3.9079
_cell_angle_alpha 60.00
_cell_angle_beta 60.00
_cell_angle_gamma 60.00
loop_
_atom_site_label
_atom_site_fract_x
_atom_site_fract_y
_atom_site_fract_z
Zn1 0.5000 0.5000 0.5000
Co1 0.2500 0.2500 0.2500
Co2 0.7500 0.7500 0.7500
O1 0.0000 0.0000 0.0000
# - M_tot (μB/f.u.) = 3.72
# - E_form (uncorrected) (eV per atom) = 0.43
# - DFT total energy (eV/f.u.) = -52.6

# LiCoC2O6, PBEsol geometry, DFT SCAN
data_LiCoC2O6
_symmetry_space_group_name_H-M 'P 1'
_symmetry_Int_Tables_number 1
_symmetry_space_group_name_Hall 'P 1'
_cell_length_a 4.4864
_cell_length_b 4.4864
_cell_length_c 19.5115
_cell_angle_alpha 83.40
_cell_angle_beta 83.40
_cell_angle_gamma 60.00
loop_
_atom_site_label
_atom_site_fract_x
_atom_site_fract_y
_atom_site_fract_z
Li1 0.8750 0.8750 0.3751
Li2 0.6250 0.6250 0.1250
Li3 0.3750 0.3750 0.8750
Li4 0.1250 0.1250 0.6249
Co1 0.7500 0.7500 0.7499
Co2 0.5000 0.5000 0.5000
Co3 0.2500 0.2500 0.2501
Co4 0.0000 0.0000 0.0000
C1 0.9352 0.9352 0.1945
C2 0.6852 0.6852 0.9444
C3 0.4352 0.4352 0.6944
C4 0.1852 0.1852 0.4444
C5 0.5648 0.5648 0.3056
C6 0.3148 0.3148 0.0556
C7 0.0648 0.0648 0.8055
C8 0.8148 0.8148 0.5556
O1 0.5453 0.8612 0.3070
O2 0.2953 0.6112 0.0570
O3 0.0453 0.3613 0.8069
O4 0.7953 0.1112 0.5570
O5 0.6387 0.2135 0.1931
O6 0.3888 0.9635 0.9430
O7 0.1388 0.7135 0.6930
O8 0.8888 0.4635 0.4430
O9 0.2135 0.9547 0.1931
O10 0.9635 0.7047 0.9430
O11 0.7135 0.4547 0.6930
O12 0.4635 0.2047 0.4430
O13 0.2865 0.5453 0.3070
O14 0.0365 0.2953 0.0570
O15 0.7865 0.0453 0.8069
O16 0.5365 0.7953 0.5570
O17 0.8612 0.2865 0.3070
O18 0.6112 0.0365 0.0570
O19 0.3613 0.7865 0.8069
O20 0.1112 0.5365 0.5570
O21 0.9547 0.6387 0.1931
O22 0.7047 0.3888 0.9430
O23 0.4547 0.1388 0.6930
O24 0.2047 0.8888 0.4430
# - excess energy over the best structure of this formula in the dataset (meV/atom) = 0
# - M_tot (μB/f.u.) = 0.00
# - E_form (uncorrected) (eV per atom) = -1.62
# - DFT total energy (eV/f.u.) = -93.5

# BiRh, PBEsol geometry, DFT SCAN
data_BiRh
_symmetry_space_group_name_H-M 'P 1'
_symmetry_Int_Tables_number 1
_symmetry_space_group_name_Hall 'P 1'
_cell_length_a 4.1089
_cell_length_b 4.1089
_cell_length_c 5.6292
_cell_angle_alpha 90.00
_cell_angle_beta 90.00
_cell_angle_gamma 120.00
loop_
_atom_site_label
_atom_site_fract_x
_atom_site_fract_y
_atom_site_fract_z
Rh1 0.0000 0.0000 0.0000
Rh2 0.0000 0.0000 0.5000
Bi1 0.3333 0.6667 0.2500
Bi2 0.6667 0.3333 0.7500
# - M_tot (μB/f.u.) = 0.00
# - energy of formation (eV/atom) = -0.20
# - DFT total energy (eV/f.u.) = -112.7

# Re3Ir, PBEsol geometry, DFT SCAN
data_Re3Ir
_symmetry_space_group_name_H-M 'P 1'
_symmetry_Int_Tables_number 1
_symmetry_space_group_name_Hall 'P 1'
_cell_length_a 2.7421
_cell_length_b 4.3883
_cell_length_c 4.7825
_cell_angle_alpha 90.00
_cell_angle_beta 90.00
_cell_angle_gamma 90.00
loop_
_atom_site_label
_atom_site_fract_x
_atom_site_fract_y
_atom_site_fract_z
Re1 0.0000 0.5000 0.3333
Re2 0.5000 0.0000 0.5030
Re3 0.5000 0.5000 0.8333
Ir1 0.0000 0.0000 0.9972
# - M_tot (μB/f.u.) = 0.00
# - energy of formation (eV/atom) = -0.21
# - DFT total energy (eV/f.u.) = -285.2

# Cr2CoNi, PBEsol geometry, DFT SCAN
data_Cr2CoNi
_symmetry_space_group_name_H-M 'P 1'
_symmetry_Int_Tables_number 1
_symmetry_space_group_name_Hall 'P 1'
_cell_length_a 2.4153
_cell_length_b 2.4153
_cell_length_c 7.2111
_cell_angle_alpha 90.00
_cell_angle_beta 90.00
_cell_angle_gamma 90.00
loop_
_atom_site_label
_atom_site_fract_x
_atom_site_fract_y
_atom_site_fract_z
Cr1 0.0000 0.0000 0.7440
Cr2 0.0000 0.0000 0.2560
Co1 0.5000 0.5000 0.5000
Ni1 0.5000 0.5000 0.0000
# - excess energy over the best structure of this formula in the dataset (meV/atom) = 10
# - M_tot (μB/f.u.) = 0.33
# - energy of formation (eV/atom) = 0.12
# - DFT total energy (eV/f.u.) = -69.8

# Ba2MgAl, PBEsol geometry, DFT SCAN
data_Ba2MgAl
_symmetry_space_group_name_H-M 'P 1'
_symmetry_Int_Tables_number 1
_symmetry_space_group_name_Hall 'P 1'
_cell_length_a 4.1134
_cell_length_b 4.1134
_cell_length_c 8.5885
_cell_angle_alpha 90.00
_cell_angle_beta 90.00
_cell_angle_gamma 90.00
loop_
_atom_site_label
_atom_site_fract_x
_atom_site_fract_y
_atom_site_fract_z
Mg1 0.5000 0.5000 0.0000
Ba1 0.0000 0.0000 0.7297
Ba2 0.0000 0.0000 0.2703
Al1 0.5000 0.5000 0.5000
# - excess energy over the best structure of this formula in the dataset (meV/atom) = 25
# - M_tot (μB/f.u.) = 0.03
# - energy of formation (eV/atom) = -0.04
# - DFT total energy (eV/f.u.) = -92.0

# CrInCl2, PBEsol geometry, DFT SCAN
data_CrInCl2
_symmetry_space_group_name_H-M 'P 1'
_symmetry_Int_Tables_number 1
_symmetry_space_group_name_Hall 'P 1'
_cell_length_a 3.4005
_cell_length_b 5.1871
_cell_length_c 5.8565
_cell_angle_alpha 116.26
_cell_angle_beta 90.00
_cell_angle_gamma 90.00
loop_
_atom_site_label
_atom_site_fract_x
_atom_site_fract_y
_atom_site_fract_z
Cr1 0.0000 0.7228 0.5703
Cl1 0.0000 0.9333 0.9914
Cl2 0.5000 0.5715 0.2683
In1 0.5000 0.2723 0.6699
# - excess energy over the best structure of this formula in the dataset (meV/atom) = 159
# - M_tot (μB/f.u.) = 4.18
# - E_form (uncorrected) (eV per atom) = -0.64
# - DFT total energy (eV/f.u.) = -70.3

# In2MoP, PBEsol geometry, DFT SCAN
data_In2MoP
_symmetry_space_group_name_H-M 'P 1'
_symmetry_Int_Tables_number 1
_symmetry_space_group_name_Hall 'P 1'
_cell_length_a 4.0862
_cell_length_b 4.0862
_cell_length_c 5.2019
_cell_angle_alpha 113.13
_cell_angle_beta 113.13
_cell_angle_gamma 90.00
loop_
_atom_site_label
_atom_site_fract_x
_atom_site_fract_y
_atom_site_fract_z
In1 0.0000 0.0000 0.0000
In2 0.7500 0.2500 0.5000
Mo1 0.5000 0.5000 0.0000
P1 0.2500 0.7500 0.5000
# - M_tot (μB/f.u.) = 1.53
# - energy of formation (eV/atom) = 0.52
# - DFT total energy (eV/f.u.) = -110.0